First-principles (PBE with a Hubbard U) data for a relaxed LiFeSi2O6 crystal, as listed in Alexandria via LeMat-Bulk.

Summary:
Symmetry   Cc, No. 9
D(E_F)   0.000 states/eV per cell
Calculated total energy   -143.691 eV/cell

```
data_LiFeSi2O6
_chemical_formula_sum 'Li2 Fe2 Si4 O12'
_cell_length_a 5.1847
_cell_length_b 5.1847
_cell_length_c 10.6728
_cell_angle_alpha 103.26
_cell_angle_beta 103.26
_cell_angle_gamma 90.45
_space_group_name_H-M_alt 'P 1'
_space_group_IT_number 1
loop_
_space_group_symop_operation_xyz
'x,y,z'
loop_
_atom_site_label
_atom_site_type_symbol
_atom_site_fract_x
_atom_site_fract_y
_atom_site_fract_z
Li1 Li 0.1034 0.8966 0.5000
Li2 Li 0.8966 0.1034 0.0000
Fe1 Fe 0.0108 0.2864 0.3281
Fe2 Fe 0.2864 0.0108 0.8281
Si1 Si 0.2409 0.6004 0.0058
Si2 Si 0.6004 0.2409 0.5058
Si3 Si 0.7066 0.8263 0.6716
Si4 Si 0.8263 0.7066 0.1716
O1 O 0.0188 0.8658 0.6706
O2 O 0.2044 0.8894 0.9701
O3 O 0.2392 0.3702 0.8752
O4 O 0.3702 0.2392 0.3752
O5 O 0.5133 0.6031 0.1206
O6 O 0.5241 0.9855 0.5653
O7 O 0.6031 0.5133 0.6206
O8 O 0.6432 0.9465 0.8167
O9 O 0.8658 0.0188 0.1706
O10 O 0.8894 0.2044 0.4701
O11 O 0.9465 0.6432 0.3167
O12 O 0.9855 0.5241 0.0653
```